Record 1
Density functional theory data (PBE-GGA) for a geometry-optimized BaMn2Pt structure.

```
BaMn2Pt
1.0
-2.531 2.531 8.817
2.531 -2.531 8.817
2.531 2.531 -8.817
Ba Mn Pt
2 4 2
Direct
0.375 0.625 0.750
0.625 0.375 0.250
0.000 0.000 0.000
0.000 0.000 0.500
0.000 0.500 0.000
0.500 0.000 0.500
0.125 0.875 0.250
0.875 0.125 0.750
```

Output
**Magnetization**: 7.9 μB/f.u.
**ΔH_f (0 K)**: 0.260 eV per atom
**DFT total energy**: -6.32 eV/atom


Record 2
Density functional theory data (PBE-GGA) for a geometry-optimized HoAlZn2Pt4 structure.

```
HoAlZn2Pt4
1.0
2.196 1.268 7.958
-2.196 1.268 7.958
0.000 -2.536 7.958
Ho Al Zn Pt
1 1 2 4
Direct
0.000 0.000 0.000
0.500 0.500 0.500
0.249 0.249 0.249
0.751 0.751 0.751
0.132 0.132 0.132
0.397 0.397 0.397
0.603 0.603 0.603
0.868 0.868 0.868
```

Output
**Magnetization**: 0.0 μB/f.u.
**ΔH_f (0 K)**: -0.853 eV per atom
**DFT total energy**: -5.23 eV/atom


Record 3
Density functional theory data (PBE-GGA) for a geometry-optimized Cs2TcPdBr6 structure.

```
Cs2TcPdBr6
1.0
-3.822 3.822 5.419
3.822 -3.822 5.419
3.822 3.822 -5.419
Cs Tc Pd Br
2 1 1 6
Direct
0.250 0.750 0.500
0.750 0.250 0.500
0.000 0.000 0.000
0.500 0.500 0.000
0.242 0.242 0.000
0.243 0.243 0.486
0.243 0.757 0.000
0.757 0.243 0.000
0.757 0.757 0.514
0.758 0.758 0.000
```

Output
**Magnetization**: 3.1 μB/f.u.
**Formation energy from raw total energies**: -8.52 eV/f.u.
**DFT total energy**: -3.58 eV/atom


Record 4
Density functional theory data (PBE-GGA) for a geometry-optimized DyErTh2N4 structure.

```
DyErTh2N4
1.0
6.156 0.000 0.000
0.000 3.569 0.000
-2.066 0.000 5.822
Dy Er Th N
1 1 2 4
Direct
0.000 0.000 0.000
0.000 0.500 0.500
0.500 0.000 0.500
0.500 0.500 0.000
0.243 0.000 0.746
0.244 0.500 0.250
0.756 0.500 0.750
0.757 0.000 0.254
```

Output
**Magnetization**: 0.0 μB/f.u.
**Formation energy from raw total energies**: -13.03 eV/f.u.
**DFT total energy**: -8.79 eV/atom


Record 5
Density functional theory data (PBE-GGA) for a geometry-optimized FeSi2Mo structure.

```
FeSi2Mo
1.0
0.000 2.934 2.934
2.934 0.000 2.934
2.934 2.934 0.000
Fe Si Mo
1 2 1
Direct
0.000 0.000 0.000
0.250 0.250 0.250
0.750 0.750 0.750
0.500 0.500 0.500
```

Output
**Magnetization**: 1.1 μB/f.u.
**Formation energy from raw total energies**: -0.66 eV/f.u.
**DFT total energy**: -7.70 eV/atom


Record 6
Density functional theory data (PBE-GGA) for a geometry-optimized KSe2O structure.

```
KSe2O
1.0
2.745 1.585 5.692
-2.745 1.585 5.692
0.000 -3.170 5.692
K Se O
1 2 1
Direct
0.000 0.000 0.000
0.394 0.394 0.394
0.606 0.606 0.606
0.500 0.500 0.500
```

Output
**Magnetization**: 0.0 μB/f.u.
**Formation energy from raw total energies**: -0.70 eV/f.u.
**DFT total energy**: -3.43 eV/atom


Record 7
Density functional theory data (PBE-GGA) for a geometry-optimized ZnSnIrO6 structure.

```
ZnSnIrO6
1.0
5.290 0.000 0.000
-2.645 4.582 0.000
0.000 0.000 8.810
Zn Sn Ir O
2 2 2 12
Direct
0.000 0.000 0.000
0.000 0.000 0.500
0.333 0.667 0.250
0.667 0.333 0.750
0.333 0.667 0.750
0.667 0.333 0.250
0.020 0.361 0.629
0.020 0.659 0.871
0.341 0.361 0.871
0.341 0.980 0.629
0.361 0.020 0.129
0.361 0.341 0.371
0.639 0.659 0.629
0.639 0.980 0.871
0.659 0.020 0.371
0.659 0.639 0.129
0.980 0.341 0.129
0.980 0.639 0.371
```

Output
**Magnetization**: 1.0 μB/f.u.
**Formation energy from raw total energies**: -8.97 eV/f.u.
**DFT total energy**: -5.87 eV/atom


Record 8
Density functional theory data (PBE-GGA) for a geometry-optimized AcDyEr4S8 structure.

```
AcDyEr4S8
1.0
4.054 2.340 6.642
-4.054 2.340 6.642
0.000 -4.681 6.642
Ac Dy Er S
1 1 4 8
Direct
0.000 0.000 0.000
0.377 0.377 0.377
0.377 0.377 0.868
0.377 0.868 0.377
0.749 0.749 0.749
0.868 0.377 0.377
0.139 0.139 0.577
0.139 0.577 0.139
0.141 0.141 0.141
0.142 0.620 0.620
0.577 0.139 0.139
0.618 0.618 0.618
0.620 0.142 0.620
0.620 0.620 0.142
```

Output
**Magnetization**: 0.0 μB/f.u.
**Formation energy from raw total energies**: -26.85 eV/f.u.
**DFT total energy**: -6.20 eV/atom


Record 9
Density functional theory data (PBE-GGA) for a geometry-optimized Pm6Tl2Zn structure.

```
Pm6Tl2Zn
1.0
-2.613 3.702 7.810
2.613 -3.702 7.810
2.613 3.702 -7.810
Pm Tl Zn
6 2 1
Direct
0.081 0.339 0.742
0.232 0.000 0.232
0.403 0.661 0.742
0.597 0.339 0.258
0.768 0.000 0.768
0.919 0.661 0.258
0.335 0.835 0.500
0.665 0.165 0.500
0.000 0.500 0.500
```

Output
**Magnetization**: 0.0 μB/f.u.
**Offset from the most stable computed form**: 0.2157 eV/atom
**ΔH_f (0 K)**: -0.020 eV per atom
**DFT total energy**: -3.85 eV/atom


Record 10
Density functional theory data (PBE-GGA) for a geometry-optimized Sb2W structure.

```
Sb2W
1.0
-1.639 1.639 6.478
1.639 -1.639 6.478
1.639 1.639 -6.478
Sb W
2 1
Direct
0.132 0.132 0.000
0.868 0.868 0.000
0.500 0.500 0.000
```

Output
**Magnetization**: 0.0 μB/f.u.
**Offset from the most stable computed form**: 0.1315 eV/atom
**Formation energy from raw total energies**: 1.23 eV/f.u.
**DFT total energy**: -6.66 eV/atom


Record 11
Density functional theory data (PBE-GGA) for a geometry-optimized AcPrTe structure.

```
AcPrTe
1.0
-2.046 2.046 6.520
2.046 -2.046 6.520
2.046 2.046 -6.520
Ac Pr Te
1 1 1
Direct
0.000 0.000 0.000
0.294 0.294 0.000
0.666 0.666 0.000
```

Output
**Magnetization**: 0.0 μB/f.u.
**Offset from the most stable computed form**: 0.0000 eV/atom
**Formation energy from raw total energies**: -2.35 eV/f.u.
**DFT total energy**: -4.79 eV/atom


Record 12
Density functional theory data (PBE-GGA) for a geometry-optimized ReRuSe2 structure.

```
ReRuSe2
1.0
1.465 -2.460 0.000
1.465 2.460 0.000
0.000 0.000 10.031
Re Ru Se
1 1 2
Direct
0.000 0.000 0.000
0.500 0.500 0.788
0.000 0.000 0.571
0.500 0.500 0.217
```

Output
**Magnetization**: 0.0 μB/f.u.
**Offset from the most stable computed form**: 0.4555 eV/atom
**Formation energy from raw total energies**: 2.00 eV/f.u.
**DFT total energy**: -6.67 eV/atom